The following is a DFT calculation (PBE) of a relaxed CuGe3P crystal.

Summary:
**Total moment**: 0.0 μB per formula unit
**VASP energy**: -19.2 eV for the cell shown
**Energy above the most stable polymorph in this dataset**: 204 meV per atom
**ΔE_f**: 402 kJ/mol of formula units

Cell lengths 4.762, 4.762, 4.762 Å; angles 90.00, 90.00, 90.00 degrees
Fractional coordinates of all 5 atoms:
Ge: 0.500 0.000 0.000
Ge: 0.000 0.000 0.500
P: 0.000 0.000 0.000
Cu: 0.500 0.500 0.500
Ge: 0.000 0.500 0.000

The following is a DFT calculation (PBE) of a relaxed BaGaAgF6 crystal.

Summary:
**Formation energy without anion corrections**: -261.26 kJ/mol of atoms
**Total moment**: 0.1 μB per formula unit
**VASP energy**: -43.4 eV for the cell shown

Cell lengths 5.883, 5.883, 5.321 Å; angles 90.00, 90.00, 59.95 degrees
Site moments in Bohr magnetons follow the coordinates.
Fractional coordinates of all 9 atoms:
F: 0.068 0.328 0.291  0.00
F: 0.604 0.329 0.709  0.00
F: 0.606 0.066 0.292  0.00
F: 0.328 0.605 0.291  0.00
Ag: 0.666 0.666 0.500  0.10
Ga: 0.333 0.333 0.500  0.00
F: 0.066 0.606 0.708  0.00
F: 0.328 0.068 0.709  0.00
Ba: 0.000 0.000 0.000  0.00

The following is a DFT calculation (PBE) of a relaxed Ca6Tl2Hg crystal.

Summary:
**Total moment**: 0.0 μB per formula unit
**VASP energy**: -20.0 eV for the cell shown
**Energy above the most stable polymorph in this dataset**: 22 meV per atom
**ΔE_f**: -284 kJ/mol of formula units

Cell lengths 5.607, 5.605, 10.509 Å; angles 90.01, 90.00, 120.01 degrees
Fractional coordinates of all 9 atoms:
Tl: 0.334 0.667 0.744
Ca: 0.000 0.000 0.794
Hg: 0.000 0.000 0.500
Ca: 0.333 0.667 0.414
Ca: 0.667 0.333 0.586
Ca: 0.667 0.333 0.941
Ca: 0.000 0.000 0.206
Tl: 0.666 0.333 0.256
Ca: 0.333 0.667 0.059